KGaTc2O PBE-GGA relaxed; SG = P4/mmm; formation energy without anion corrections = 2962 meV per atom
1.0
5.0701 0.0000 0.0000
0.0000 5.5944 0.0000
0.0000 0.0000 5.0701
Tc O Ga K
2 1 1 1
Cartesian
0.0000 0.0000 2.5350 Tc
2.5350 0.0000 0.0000 Tc
2.5350 2.7972 2.5350 O
0.0000 2.7972 0.0000 Ga
0.0000 0.0000 0.0000 K



La2MoPb PBE-GGA relaxed; SG = Imm2; formation enthalpy at 0 K = 57 kJ/mol of formula units
1.0
-3.8844 0.2621 5.3257
-4.8722 -2.8001 3.4557
1.7126 -2.9294 3.8923
Mo Pb La
1 1 2
Cartesian
-3.6663 -2.7273 6.4026 Mo
-1.2433 -1.3870 2.9280 Pb
-5.7228 -4.0852 9.7125 La
-8.6905 -2.5395 8.7491 La



YSbBr2 PBE-GGA relaxed; SG = Immm; formation energy without anion corrections = -975 meV per atom; energy above the lowest structure with this stoichiometry = 71 meV per atom
1.0
8.0717 0.2275 0.0155
5.0881 6.2703 -0.0155
-5.9163 -4.5928 3.0180
Sb Y Br
1 1 2
Cartesian
4.3676 -0.5582 1.5167 Sb
2.8758 2.4632 1.5012 Y
5.2936 2.6138 0.0000 Br
1.2863 0.6351 0.0000 Br



Li2YCd2Ag2 PBE-GGA relaxed; SG = C2/m; formation enthalpy at 0 K = -172 kJ/mol of formula units
1.0
-4.1679 2.3707 -0.3272
1.3726 -1.8764 4.2170
3.7811 6.5038 -1.0409
Ag Cd Li Y
2 2 2 1
Cartesian
2.7113 4.9560 1.3721 Ag
-1.7254 2.0421 1.4769 Ag
0.4619 1.2486 3.1624 Cd
0.5239 5.7495 -0.3135 Cd
-0.5080 4.2685 2.1008 Li
1.4938 2.7295 0.7482 Li
0.0000 0.0000 0.0000 Y